The following is a GGA-PBE calculation of an optimized crystal structure of V4FeNi, from Alexandria via LeMat-Bulk.

Unit cell a=2.9511 b=2.9511 c=8.6548 alpha=90.00 beta=90.00 gamma=90.00
Last column: nearest neighbours and their distance in Å.
Fractional positions:
Ni 0.0000 0.0000 0.0000  8 V 2.53
V 0.5000 0.5000 0.8341  4 Ni 2.53, 4 V 2.55
V 0.0000 0.0000 0.3352  4 Fe 2.53, 4 V 2.55
V 0.0000 0.0000 0.6648  4 Fe 2.53, 4 V 2.55
V 0.5000 0.5000 0.1659  4 Ni 2.53, 4 V 2.55
Fe 0.5000 0.5000 0.5000  8 V 2.53

Calculated values
Polymorph energy (0 for the lowest one) ... 0.0 meV/atom
Spin magnetization ... 1.19 μB per formula unit
Electronic total energy ... -8.52 eV per atom
Crystal system ... tetragonal
Density of states at the Fermi level ... 1.26 states/eV per atom
Calculated formation energy ... -0.07 eV per atom